Density functional theory data (PBE) for ZnTc2Sb2 after structural relaxation.

Unit cell a=7.436 b=7.436 c=3.311 alpha=90.00 beta=90.00 gamma=90.00
Space group P4/mbm (No. 127)
Inequivalent atoms, fractional coordinates:
Zn 0.000 0.000 0.000
Tc 0.145 0.355 0.000
Sb 0.153 0.653 0.500

Properties
Formation energy from raw total energies   0.159 eV/atom
Fermi-level density of states   0.683 states/eV per atom
Total moment   0.00 μB per atom